The following is a DFT calculation (PBE-GGA) of SmIn3Au2 after structural relaxation.

Properties
Calculated density ... 10.3 g/cm³
DFT total energy ... -3.712 eV/atom
SG ... C2/m, No. 12

The structure in POSCAR format:
```
SmIn3Au2
1.0
8.5405 -2.2349 0.0000
8.5405 2.2349 0.0000
-4.4797 0.0000 7.5151
Sm In Au
2 6 4
direct
0.1261 0.1261 0.1262 Sm
0.8739 0.8739 0.8738 Sm
0.9997 0.9997 0.3431 In
0.0003 0.0003 0.6569 In
0.3286 0.3286 0.1294 In
0.3288 0.3288 0.5278 In
0.6712 0.6712 0.4722 In
0.6714 0.6714 0.8706 In
0.2165 0.2165 0.7164 Au
0.5000 0.5000 0.1566 Au
0.5000 0.5000 0.8434 Au
0.7835 0.7835 0.2836 Au
```

---

The following is a DFT calculation (PBE-GGA) of BaScCl2 after structural relaxation.

Properties
Energy relative to the lowest polymorph listed for this composition ... 166.5 meV per atom
Calculated density ... 3.2 g/cm³
SG ... I-42d, No. 122

The structure in POSCAR format:
```
BaScCl2
1.0
5.8380 0.0000 0.0000
0.0000 5.8380 0.0000
0.0000 0.0000 15.4242
Ba Sc Cl
4 4 8
direct
0.0000 0.0000 0.0000 Ba
0.0000 0.5000 0.2500 Ba
0.5000 0.0000 0.7500 Ba
0.5000 0.5000 0.5000 Ba
0.0000 0.0000 0.5000 Sc
0.0000 0.5000 0.7500 Sc
0.5000 0.0000 0.2500 Sc
0.5000 0.5000 0.0000 Sc
0.1260 0.2500 0.6250 Cl
0.2500 0.6260 0.8750 Cl
0.2500 0.8740 0.3750 Cl
0.3740 0.2500 0.1250 Cl
0.6260 0.7500 0.1250 Cl
0.7500 0.1260 0.3750 Cl
0.7500 0.3740 0.8750 Cl
0.8740 0.7500 0.6250 Cl
```

---

The following is a DFT calculation (PBE-GGA) of MgOs4W after structural relaxation.

Properties
Calculated density ... 16.8 g/cm³
DFT total energy ... -9.513 eV/atom
SG ... F-43m, No. 216

The structure in POSCAR format:
```
MgOs4W
1.0
0.0000 3.6341 3.6341
3.6341 0.0000 3.6341
3.6341 3.6341 0.0000
Mg Os W
1 4 1
direct
0.0000 0.0000 0.0000 Mg
0.1234 0.6255 0.6255 Os
0.6255 0.1234 0.6255 Os
0.6255 0.6255 0.1234 Os
0.6255 0.6255 0.6255 Os
0.2500 0.2500 0.2500 W
```